1.
Entry from Alexandria: a relaxed Ce3Pr2Pb4 crystal (PBE).

Lattice parameters (Å, degrees): 7.0530 9.4183 9.6160 90.00 111.51 90.00
Element x y z (fractional)
Ce 0.0000 0.0000 0.0000
Ce 0.5000 0.5000 0.0000
Ce 0.5433 0.7500 0.5866
Ce 0.9567 0.2500 0.4134
Ce 0.4567 0.2500 0.4134
Ce 0.0433 0.7500 0.5866
Pr 0.1108 0.5835 0.2216
Pr 0.8892 0.4165 0.7784
Pr 0.3892 0.0835 0.7784
Pr 0.6108 0.9165 0.2216
Pb 0.7192 0.7500 0.9384
Pb 0.7808 0.2500 0.0616
Pb 0.2808 0.2500 0.0616
Pb 0.2192 0.7500 0.9384
Pb 0.1804 0.9432 0.3609
Pb 0.8196 0.0568 0.6391
Pb 0.3196 0.4432 0.6391
Pb 0.6804 0.5568 0.3609

Summary:
**Energy above the most stable polymorph in this dataset**: 0.051 eV per atom
**Symmetry**: Cmce (64)


2.
Entry from Alexandria: a relaxed Ce3PrPb2 crystal (PBE).

Lattice parameters (Å, degrees): 4.9257 9.8894 8.3351 116.05 90.00 104.42
Element x y z (fractional)
Ce 0.2964 0.5927 0.5081
Ce 0.9310 0.8620 0.5189
Ce 0.6206 0.2411 0.6872
Ce 0.3794 0.7589 0.3128
Ce 0.0690 0.1380 0.4811
Ce 0.7036 0.4073 0.4919
Pr 0.8866 0.7731 0.9539
Pr 0.1134 0.2269 0.0461
Pb 0.4782 0.9564 0.7972
Pb 0.5218 0.0436 0.2028
Pb 0.7508 0.5016 0.1608
Pb 0.2492 0.4984 0.8392

Summary:
**Symmetry**: C2/m (12)


no.,total magnetization (μB/cell),formation energy (eV per atom)
1,6.7,-0.323
2,2.8,-0.287